No. 1
Here is a geometry-optimized CaHf2Ni9 structure from Alexandria. Energies are from GGA-PBE.

Values from the calculation:
The density of states at the Fermi level comes out at 16.717 states/eV/cell. Its final energy is -78.11 eV per cell. The formation energy is -0.348 eV/atom.

```
CaHf2Ni9
1.0
2.447 1.413 7.890
-2.447 1.413 7.890
0.000 -2.826 7.890
Ca Hf Ni
1 2 9
direct
0.000 0.000 0.000
0.140 0.140 0.140
0.860 0.860 0.860
0.080 0.589 0.589
0.333 0.333 0.333
0.411 0.411 0.920
0.411 0.920 0.411
0.500 0.500 0.500
0.589 0.080 0.589
0.589 0.589 0.080
0.667 0.667 0.667
0.920 0.411 0.411
```

No. 2
Here is a geometry-optimized Ca2Hf2Ni15 structure from Alexandria. Energies are from GGA-PBE.

Values from the calculation:
The density of states at the Fermi level comes out at 26.272 states/eV/cell. Its final energy is -114.27 eV per cell. The formation energy is -0.192 eV/atom.

```
Ca2Hf2Ni15
1.0
4.240 2.448 4.180
-4.240 2.448 4.180
0.000 -4.896 4.180
Ca Hf Ni
2 2 15
direct
0.141 0.141 0.141
0.859 0.859 0.859
0.389 0.389 0.389
0.611 0.611 0.611
0.000 0.500 0.500
0.155 0.155 0.655
0.155 0.655 0.155
0.206 0.500 0.794
0.206 0.794 0.500
0.345 0.845 0.845
0.500 0.000 0.500
0.500 0.206 0.794
0.500 0.500 0.000
0.500 0.794 0.206
0.655 0.155 0.155
0.794 0.206 0.500
0.794 0.500 0.206
0.845 0.345 0.845
0.845 0.845 0.345
```

No. 3
Here is a geometry-optimized CaHf3Ni structure from Alexandria. Energies are from GGA-PBE.

Values from the calculation:
The density of states at the Fermi level comes out at 3.878 states/eV/cell. Its final energy is -27.33 eV per cell. The formation energy is 2.062 eV/atom.

```
CaHf3Ni
1.0
4.925 0.000 0.000
0.000 4.925 0.000
0.000 0.000 4.925
Ca Hf Ni
1 3 1
direct
0.000 0.000 0.000
0.000 0.000 0.500
0.000 0.500 0.000
0.500 0.000 0.000
0.500 0.500 0.500
```

No. 4
Here is a geometry-optimized CaHfNi10 structure from Alexandria. Energies are from GGA-PBE.

Values from the calculation:
The density of states at the Fermi level comes out at 13.830 states/eV/cell. Its final energy is -72.19 eV per cell. The formation energy is -0.202 eV/atom.

```
CaHfNi10
1.0
3.957 0.000 0.000
0.000 4.822 0.000
0.000 0.000 8.336
Ca Hf Ni
1 1 10
direct
0.000 0.000 0.000
0.000 0.500 0.500
0.000 0.000 0.342
0.000 0.000 0.658
0.000 0.500 0.179
0.000 0.500 0.821
0.500 0.000 0.500
0.500 0.256 0.260
0.500 0.256 0.740
0.500 0.500 0.000
0.500 0.744 0.260
0.500 0.744 0.740
```

No. 5
Here is a geometry-optimized CaHfReNi2 structure from Alexandria. Energies are from GGA-PBE.

Values from the calculation:
The density of states at the Fermi level comes out at 6.341 states/eV/cell. Its final energy is -26.70 eV per cell. The formation energy is 1.853 eV/atom.

```
CaHfReNi2
1.0
4.530 0.000 0.000
0.000 4.530 0.000
0.000 0.000 5.215
Ca Hf Re Ni
1 1 1 2
direct
0.000 0.000 0.000
0.000 0.000 0.500
0.500 0.500 0.000
0.000 0.500 0.500
0.500 0.000 0.500
```

No. 6
Here is a geometry-optimized Ca2HfTcNi structure from Alexandria. Energies are from GGA-PBE.

Values from the calculation:
The density of states at the Fermi level comes out at 6.265 states/eV/cell. Its final energy is -25.97 eV per cell. The formation energy is 0.827 eV/atom.

```
Ca2HfTcNi
1.0
5.022 0.000 0.000
0.000 5.022 0.000
0.000 0.000 4.710
Ca Hf Tc Ni
2 1 1 1
direct
0.000 0.500 0.000
0.500 0.000 0.000
0.000 0.000 0.500
0.500 0.500 0.500
0.500 0.500 0.000
```